No. 1
! NbCuPt | OQMD | PBE | relaxed; values from VASP
! ΔH_f (0 K) = 229.4 meV/atom
! Symmetry = F-43m
&SYSTEM
  ibrav = 0, nat = 3, ntyp = 3
/
ATOMIC_SPECIES
Nb 92.91 Nb.upf
Cu 63.55 Cu.upf
Pt 195.08 Pt.upf
CELL_PARAMETERS angstrom
0.000 3.021 3.021
3.021 0.000 3.021
3.021 3.021 0.000
ATOMIC_POSITIONS crystal
Nb 0.000 0.000 0.000
Cu 0.750 0.750 0.750
Pt 0.250 0.250 0.250

No. 2
! LuNpHg | OQMD | PBE | relaxed; values from VASP
! ΔH_f (0 K) = 450.7 meV/atom
! Symmetry = F-43m
&SYSTEM
  ibrav = 0, nat = 3, ntyp = 3
/
ATOMIC_SPECIES
Lu 174.97 Lu.upf
Np 237.00 Np.upf
Hg 200.59 Hg.upf
CELL_PARAMETERS angstrom
0.000 3.585 3.585
3.585 0.000 3.585
3.585 3.585 0.000
ATOMIC_POSITIONS crystal
Lu 0.000 0.000 0.000
Np 0.500 0.500 0.500
Hg 0.250 0.250 0.250